# 1
# MgInC2Se

A geometry-optimized MgInC2Se structure (GGA-PBE, Alexandria).

Summary:
magnetization = 0.00 μB/f.u.
energy = -3.24 eV per atom
formation energy from raw total energies = 2.013 eV per atom
crystal system = tetragonal

a = 4.1373 Å, b = 5.5950 Å, c = 4.1373 Å
α = 90.00°, β = 90.00°, γ = 90.00°
Closest atoms and distances in Å follow each position.
Atoms (fractional coordinates):
Mg 0.5000 0.5000 0.5000  4 In 2.93
C 0.0000 0.0000 0.5000  2 Se 2.07
C 0.5000 0.0000 0.0000  2 Se 2.07
Se 0.0000 0.0000 0.0000  4 C 2.07
In 0.0000 0.5000 0.0000  2 Se 2.80, 4 Mg 2.93

=====

# 2
# CuPbW2

A geometry-optimized CuPbW2 structure (GGA-PBE, Alexandria).

Summary:
magnetization = 0.00 μB/f.u.
energy = -7.58 eV per atom
calculated formation energy = 327 kJ/mol of formula units
crystal system = monoclinic

a = 4.6430 Å, b = 5.7156 Å, c = 3.0705 Å
α = 74.21°, β = 90.48°, γ = 114.11°
Closest atoms and distances in Å follow each position.
Atoms (fractional coordinates):
Cu 0.0000 0.5000 0.5000  4 Pb 2.77-2.79, 4 W 2.85, 2 Cu 3.07
Pb 0.5000 0.5000 0.0000  4 Cu 2.77-2.79, 4 W 2.85, 2 Pb 3.07
W 0.0000 0.0000 0.0000  6 W 2.77-3.07, 2 Cu 2.85, 2 Pb 2.85
W 0.5000 0.0000 0.5000  6 W 2.77-3.07, 2 Pb 2.85, 2 Cu 2.85

=====

# 3
# Sr2Cd5Sn

A geometry-optimized Sr2Cd5Sn structure (GGA-PBE, Alexandria).

Summary:
magnetization = 0.00 μB/f.u.
energy = -1.83 eV per atom
calculated formation energy = -263 kJ/mol of formula units
crystal system = orthorhombic

a = 4.9281 Å, b = 9.4163 Å, c = 10.1674 Å
α = 90.00°, β = 90.00°, γ = 105.17°
Closest atoms and distances in Å follow each position.
Atoms (fractional coordinates):
Sr 0.8050 0.6101 0.7500  11 Cd 3.47-3.64, 2 Sn 3.58
Sr 0.1950 0.3899 0.2500  11 Cd 3.47-3.64, 2 Sn 3.58
Sr 0.0000 0.0000 0.0000  10 Cd 3.63-4.02, 4 Sn 3.66
Sr 0.0000 0.0000 0.5000  10 Cd 3.63-4.02, 4 Sn 3.66
Cd 0.1903 0.3805 0.8927  4 Cd 2.90-3.04
Cd 0.8097 0.6195 0.1073  4 Cd 2.90-3.04
Cd 0.1903 0.3805 0.6073  4 Cd 2.90-3.04
Cd 0.8097 0.6195 0.3927  4 Cd 2.90-3.04
Cd 0.3512 0.7023 0.9752  1 Sn 2.89, 4 Cd 2.91-3.04
Cd 0.6488 0.2977 0.0248  1 Sn 2.89, 4 Cd 2.91-3.04
Cd 0.3512 0.7023 0.5248  1 Sn 2.89, 4 Cd 2.91-3.04
Cd 0.6488 0.2977 0.4752  1 Sn 2.89, 4 Cd 2.91-3.04
Cd 0.6048 0.2097 0.7500  1 Sn 2.85, 2 Cd 2.91
Cd 0.3952 0.7903 0.2500  1 Sn 2.85, 2 Cd 2.91
Sn 0.4482 0.8965 0.7500  3 Cd 2.85-2.89
Sn 0.5518 0.1035 0.2500  3 Cd 2.85-2.89

=====

# 4
# LaCu2Ni

A geometry-optimized LaCu2Ni structure (GGA-PBE, Alexandria).

Summary:
magnetization = 0.00 μB/f.u.
energy = -4.73 eV per atom
calculated formation energy = 0 kJ/mol of formula units
crystal system = orthorhombic

a = 5.2002 Å, b = 5.2002 Å, c = 5.2002 Å
α = 138.96°, β = 130.29°, γ = 66.37°
Closest atoms and distances in Å follow each position.
Atoms (fractional coordinates):
Cu 0.0235 0.0235 0.0000  2 Ni 2.69, 4 Cu 2.88, 4 La 2.94-3.00
Cu 0.4765 0.4765 0.0000  2 Ni 2.69, 4 Cu 2.88, 4 La 2.94-3.00
La 0.7500 0.2500 0.5000  4 Ni 2.85, 8 Cu 2.94-3.00
Ni 0.2500 0.7500 0.5000  4 Cu 2.69, 4 La 2.85

=====

# 5
# Sr3NiN

A geometry-optimized Sr3NiN structure (GGA-PBE, Alexandria).

Summary:
magnetization = 0.00 μB/f.u.
energy = -3.95 eV per atom
formation energy from raw total energies = -0.121 eV per atom
crystal system = cubic

a = 5.1585 Å, b = 5.1585 Å, c = 5.1585 Å
α = 90.00°, β = 90.00°, γ = 90.00°
Closest atoms and distances in Å follow each position.
Atoms (fractional coordinates):
Sr 0.0000 0.5000 0.0000  2 N 2.58
Sr 0.0000 0.0000 0.5000  2 N 2.58
Sr 0.5000 0.0000 0.0000  2 N 2.58
N 0.0000 0.0000 0.0000  6 Sr 2.58
Ni 0.5000 0.5000 0.5000  12 Sr 3.65

=====

# 6
# CePmDy2

A geometry-optimized CePmDy2 structure (GGA-PBE, Alexandria).

Summary:
magnetization = 0.14 μB/f.u.
energy = -4.79 eV per atom
calculated formation energy = 69 kJ/mol of formula units
crystal system = trigonal

a = 3.4560 Å, b = 3.4560 Å, c = 12.4460 Å
α = 82.02°, β = 82.02°, γ = 60.00°
Closest atoms and distances in Å follow each position.
Atoms (fractional coordinates):
Pm 0.0000 0.0000 0.0000  2 Dy 3.38, 6 Pm 3.46
Ce 0.5000 0.5000 0.5000  6 Dy 3.41, 6 Ce 3.46
Dy 0.0916 0.0916 0.7251  1 Pm 3.38, 3 Ce 3.41, 6 Dy 3.46
Dy 0.9084 0.9084 0.2749  1 Pm 3.38, 3 Ce 3.41, 6 Dy 3.46

=====

# 7
# NpUPt

A geometry-optimized NpUPt structure (GGA-PBE, Alexandria).

Summary:
magnetization = 2.47 μB/f.u.
energy = -10.37 eV per atom
calculated formation energy = -80 kJ/mol of formula units
crystal system = hexagonal

a = 2.7534 Å, b = 4.8178 Å, c = 4.8178 Å
α = 120.00°, β = 90.00°, γ = 90.00°
Closest atoms and distances in Å follow each position.
Atoms (fractional coordinates):
Np 0.1665 0.0000 0.0000  2 Np 2.75, 3 U 2.78
U 0.1667 0.6667 0.3333  2 U 2.75, 3 Np 2.78
Pt 0.6668 0.3333 0.6667  2 Pt 2.75

=====

# 8
# Sm6Co2OsBr3

A geometry-optimized Sm6Co2OsBr3 structure (GGA-PBE, Alexandria).

Summary:
magnetization = 0.00 μB/f.u.
energy = -5.60 eV per atom
formation energy from raw total energies = -0.705 eV per atom
crystal system = monoclinic

a = 3.9763 Å, b = 9.0457 Å, c = 9.8663 Å
α = 112.54°, β = 101.63°, γ = 90.00°
Closest atoms and distances in Å follow each position.
Atoms (fractional coordinates):
Sm 0.3442 0.8798 0.6883  2 Co 2.76, 1 Os 2.77
Sm 0.6797 0.5531 0.3593  3 Co 2.68-2.72
Sm 0.6558 0.1202 0.3117  2 Co 2.76, 1 Os 2.77
Sm 0.0138 0.2256 0.0277  1 Co 2.78, 2 Os 2.79
Sm 0.9862 0.7744 0.9723  1 Co 2.78, 2 Os 2.79
Sm 0.3203 0.4469 0.6407  3 Co 2.68-2.72
Co 0.8299 0.6586 0.6599  6 Sm 2.68-2.78
Co 0.1701 0.3414 0.3401  6 Sm 2.68-2.78
Os 0.5000 0.0000 0.0000  6 Sm 2.77-2.79
Br 0.5000 0.5000 0.0000  6 Sm 3.27-3.31
Br 0.8338 0.1656 0.6676  6 Sm 3.30-3.33
Br 0.1662 0.8344 0.3324  6 Sm 3.30-3.33

=====

# 9
# Cs2SrI2Cl2

A geometry-optimized Cs2SrI2Cl2 structure (GGA-PBE, Alexandria).

Summary:
magnetization = 0.00 μB/f.u.
energy = -3.41 eV per atom
formation energy from raw total energies = -1.950 eV per atom
crystal system = tetragonal

a = 5.7293 Å, b = 5.7293 Å, c = 10.6605 Å
α = 105.59°, β = 105.59°, γ = 90.00°
Closest atoms and distances in Å follow each position.
Atoms (fractional coordinates):
Cs 0.3650 0.3650 0.7299  5 I 3.90-4.10, 4 Cl 3.91
Cs 0.6350 0.6350 0.2701  5 I 3.90-4.10, 4 Cl 3.91
Sr 0.0000 0.0000 0.0000  4 Cl 2.86
I 0.1670 0.1670 0.3341  1 Sr 3.29
I 0.8330 0.8330 0.6659  1 Sr 3.29
Cl 0.0000 0.5000 0.0000  2 Sr 2.86
Cl 0.5000 0.0000 0.0000  2 Sr 2.86

=====

# 10
# PaBi2Pb

A geometry-optimized PaBi2Pb structure (GGA-PBE, Alexandria).

Summary:
magnetization = 0.93 μB/f.u.
energy = -5.13 eV per atom
calculated formation energy = 44 kJ/mol of formula units
crystal system = cubic

a = 5.5712 Å, b = 5.5712 Å, c = 5.5712 Å
α = 60.00°, β = 60.00°, γ = 60.00°
Closest atoms and distances in Å follow each position.
Atoms (fractional coordinates):
Pb 0.5000 0.5000 0.5000  8 Bi 3.41
Pa 0.0000 0.0000 0.0000  8 Bi 3.41
Bi 0.2500 0.2500 0.2500  4 Pa 3.41, 4 Pb 3.41
Bi 0.7500 0.7500 0.7500  4 Pb 3.41, 4 Pa 3.41

=====

# 11
# Tl3InPb

A geometry-optimized Tl3InPb structure (GGA-PBE, Alexandria).

Summary:
magnetization = 0.00 μB/f.u.
energy = -2.69 eV per atom
calculated formation energy = 8 kJ/mol of formula units
crystal system = triclinic

a = 5.2509 Å, b = 9.6586 Å, c = 6.8264 Å
α = 113.93°, β = 90.42°, γ = 105.37°
Closest atoms and distances in Å follow each position.
Atoms (fractional coordinates):
Tl 0.1960 0.3931 0.5357  4 In 3.41-3.75, 6 Tl 3.42-3.60, 2 Pb 3.42-3.45
Tl 0.6023 0.2071 0.1511  2 Pb 3.40-3.43, 8 Tl 3.42-3.66, 2 In 3.45-3.49
Tl 0.9930 0.9894 0.2421  1 In 3.37, 7 Tl 3.39-3.66, 4 Pb 3.42-3.74
Tl 0.8040 0.6069 0.4643  4 In 3.41-3.75, 6 Tl 3.42-3.60, 2 Pb 3.42-3.45
Tl 0.0070 0.0106 0.7579  1 In 3.37, 7 Tl 3.39-3.66, 4 Pb 3.42-3.74
Tl 0.3977 0.7929 0.8489  2 Pb 3.40-3.43, 8 Tl 3.42-3.66, 2 In 3.45-3.49
In 0.2041 0.4075 0.0443  2 In 3.32-3.34, 3 Pb 3.33-3.66, 5 Tl 3.37-3.49
In 0.7959 0.5925 0.9557  2 In 3.32-3.34, 3 Pb 3.33-3.66, 5 Tl 3.37-3.49
Pb 0.3981 0.7961 0.3486  3 In 3.33-3.66, 6 Tl 3.40-3.45, 1 Pb 3.47
Pb 0.6019 0.2039 0.6514  3 In 3.33-3.66, 6 Tl 3.40-3.45, 1 Pb 3.47

=====

# 12
# La3AlSi3

A geometry-optimized La3AlSi3 structure (GGA-PBE, Alexandria).

Summary:
magnetization = 0.80 μB/f.u.
energy = -5.67 eV per atom
formation energy from raw total energies = -0.700 eV per atom
crystal system = orthorhombic

a = 4.0735 Å, b = 4.5253 Å, c = 9.8479 Å
α = 103.28°, β = 101.94°, γ = 90.00°
Closest atoms and distances in Å follow each position.
Atoms (fractional coordinates):
La 0.3133 0.8133 0.6266  5 Si 3.16-3.25, 2 Al 3.21
La 0.6832 0.1832 0.3663  7 Si 3.15-3.29
La 0.0043 0.0043 0.0086  8 Si 3.26-3.54, 4 Al 3.31
Al 0.4345 0.4345 0.8690  3 Si 2.47-2.48
Si 0.1396 0.6396 0.2792  2 Si 2.46
Si 0.8588 0.3588 0.7175  2 Al 2.48
Si 0.5663 0.5663 0.1327  2 Si 2.46, 1 Al 2.47

=====

Look up the energy of the eleventh one. -2.69 eV per atom

=====

What is the formula in the sixth record? CePmDy2

=====

magnetization of number 8 (Sm6Co2OsBr3)? 0.00 μB/f.u.